Record 1
! Sc8Ga2Rh (PBE, relaxed); values from VASP
! Formation energy from the elements: -0.41 eV per atom
&SYSTEM
  ibrav = 0, nat = 11, ntyp = 3
/
ATOMIC_SPECIES
Ga 69.72 Ga.upf
Sc 44.96 Sc.upf
Rh 102.91 Rh.upf
ATOMIC_POSITIONS crystal
Ga 0.825 0.314 0.649
Ga 0.175 0.686 0.351
Sc 0.804 0.718 0.608
Sc 0.017 0.779 0.033
Sc 0.594 0.435 0.188
Sc 0.343 0.053 0.685
Sc 0.406 0.565 0.812
Sc 0.983 0.221 0.967
Sc 0.657 0.947 0.315
Sc 0.196 0.282 0.392
Rh 0.500 0.000 0.000
CELL_PARAMETERS angstrom
4.808 0.000 0.000
0.000 6.518 -0.160
-2.404 -3.006 7.492

Record 2
! Sc2GaRh5 (PBE, relaxed); values from VASP
! Formation energy from the elements: -0.78 eV per atom
&SYSTEM
  ibrav = 0, nat = 16, ntyp = 3
/
ATOMIC_SPECIES
Rh 102.91 Rh.upf
Sc 44.96 Sc.upf
Ga 69.72 Ga.upf
ATOMIC_POSITIONS crystal
Rh 0.000 0.500 0.500
Rh 0.000 0.431 0.751
Rh 0.000 0.000 0.000
Rh 0.500 0.312 0.110
Rh 0.000 0.069 0.251
Rh 0.500 0.188 0.610
Rh 0.500 0.812 0.390
Rh 0.500 0.688 0.890
Rh 0.000 0.569 0.249
Rh 0.000 0.931 0.749
Sc 0.500 0.817 0.138
Sc 0.500 0.683 0.638
Sc 0.500 0.317 0.362
Sc 0.500 0.183 0.862
Ga 0.000 0.500 0.000
Ga 0.000 0.000 0.500
CELL_PARAMETERS angstrom
4.111 0.000 0.000
0.000 5.480 0.000
0.000 0.000 10.804

Record 3
! ScGaRh2 (PBE, relaxed); values from VASP
! Formation energy from the elements: -0.96 eV per atom
&SYSTEM
  ibrav = 0, nat = 4, ntyp = 3
/
ATOMIC_SPECIES
Rh 102.91 Rh.upf
Sc 44.96 Sc.upf
Ga 69.72 Ga.upf
ATOMIC_POSITIONS crystal
Rh 0.000 0.000 0.500
Rh 0.000 0.500 0.000
Sc 0.500 0.000 0.000
Ga 0.500 0.500 0.500
CELL_PARAMETERS angstrom
3.312 0.000 0.000
0.000 4.278 0.000
0.000 0.000 4.278